Material: LiNd6Ga5
Method: DFT, PBE
State: optimized geometry

Unit cell a=8.330 b=8.330 c=7.372 alpha=90.00 beta=90.00 gamma=143.24
Atoms (fractional coordinates):
1 Li 0.000 0.000 0.000
2 Nd 0.170 0.830 0.250
3 Nd 0.170 0.830 0.750
4 Nd 0.500 0.500 0.258
5 Nd 0.500 0.500 0.742
6 Nd 0.830 0.170 0.250
7 Nd 0.830 0.170 0.750
8 Ga 0.000 0.000 0.500
9 Ga 0.335 0.665 0.500
10 Ga 0.344 0.656 0.000
11 Ga 0.656 0.344 0.000
12 Ga 0.665 0.335 0.500

Properties
E: -51.39 eV per cell
E_form: -0.48 eV per atom
Magnetization: 0.00 μB/f.u.